(1)
The following is a PBE calculation of crystalline Mg2Sb4Ru at its relaxed geometry, from Alexandria via LeMat-Bulk.

Values from the calculation:
**Energy relative to the elements, uncorrected**: 0.29 eV per atom
**Space group**: No. 139
**Final energy**: -26.9 eV/cell
**Fermi-level density of states**: 3.913 states/eV/cell

Cell lengths 4.936, 4.936, 9.092 Å; angles 74.25, 74.25, 90.00 degrees
Fractional coordinates of all 7 atoms:
1 Sb 0.837 0.837 0.326
2 Sb 0.163 0.163 0.674
3 Sb 0.000 0.500 0.000
4 Sb 0.500 0.000 0.000
5 Mg 0.659 0.659 0.681
6 Mg 0.341 0.341 0.319
7 Ru 0.000 0.000 0.000



(2)
The following is a PBE calculation of crystalline LiTb2Au3 at its relaxed geometry, from Alexandria via LeMat-Bulk.

Values from the calculation:
**Space group**: No. 164
**Offset from the most stable computed form**: 0.000 eV/atom
**Final energy**: -51.1 eV/cell
**Fermi-level density of states**: 5.745 states/eV/cell

Cell lengths 5.011, 5.011, 11.962 Å; angles 90.00, 90.00, 120.00 degrees
Fractional coordinates of all 12 atoms:
1 Li 0.333 0.667 0.669
2 Li 0.667 0.333 0.331
3 Tb 0.000 0.000 0.500
4 Tb 0.333 0.667 0.186
5 Tb 0.667 0.333 0.814
6 Tb 0.000 0.000 0.000
7 Au 0.333 0.667 0.437
8 Au 0.667 0.333 0.079
9 Au 0.000 0.000 0.751
10 Au 0.000 0.000 0.249
11 Au 0.333 0.667 0.921
12 Au 0.667 0.333 0.563



(3)
The following is a PBE calculation of crystalline Rb2TlHg3F8 at its relaxed geometry, from Alexandria via LeMat-Bulk.

Values from the calculation:
**Energy relative to the elements, uncorrected**: -1.76 eV per atom
**Space group**: No. 160
**Final energy**: -44.8 eV/cell
**Fermi-level density of states**: 3.448 states/eV/cell

Cell lengths 7.452, 7.452, 7.870 Å; angles 61.73, 61.73, 59.99 degrees
Fractional coordinates of all 14 atoms:
1 Rb 0.124 0.124 0.628
2 Rb 0.500 0.500 0.499
3 Tl 0.878 0.878 0.365
4 Hg 0.499 0.001 0.001
5 Hg 0.001 0.499 0.001
6 Hg 0.499 0.499 0.001
7 F 0.267 0.267 0.198
8 F 0.727 0.727 0.819
9 F 0.251 0.251 0.807
10 F 0.691 0.251 0.807
11 F 0.251 0.691 0.807
12 F 0.754 0.296 0.196
13 F 0.296 0.754 0.196
14 F 0.754 0.754 0.196



Question: Number 3 is which compound?
Answer: Rb2TlHg3F8



Question: The highest final energy belongs to which entry?
Answer: Mg2Sb4Ru



Question: What is the Fermi-level density of states in the third record?
Answer: 3.448 states/eV/cell